Record 1
Ca2PrAu4: relaxed, PBE.

## Properties
- Space group: No. 139
- D(E_F): 5.09 states/eV/f.u.
- Electronic total energy: -26.34 eV for the cell shown
- Calculated formation energy: -635.2 meV/atom

Lattice parameters (Å, degrees): 5.240 5.240 7.715 109.85 109.85 90.00
Fractional coordinates of all 7 atoms:
Pr 0.000 0.000 0.000
Ca 0.729 0.729 0.458
Ca 0.271 0.271 0.542
Au 0.378 0.878 0.756
Au 0.878 0.378 0.756
Au 0.622 0.122 0.244
Au 0.122 0.622 0.244

---

Record 2
Ca2PrAu6: relaxed, PBE.

## Properties
- Space group: No. 191
- D(E_F): 3.07 states/eV/f.u.
- Electronic total energy: -34.88 eV for the cell shown
- Calculated formation energy: -715.2 meV/atom

Lattice parameters (Å, degrees): 3.603 8.243 8.243 120.00 90.00 90.00
Fractional coordinates of all 9 atoms:
Ca 0.000 0.333 0.667
Ca 0.000 0.667 0.333
Pr 0.000 0.000 0.000
Au 0.500 0.334 0.334
Au 0.500 0.666 0.666
Au 0.500 0.000 0.666
Au 0.500 0.666 0.000
Au 0.500 0.334 0.000
Au 0.500 0.000 0.334

---

Record 3
CaPrAu: relaxed, PBE.

## Properties
- Space group: No. 216
- D(E_F): 3.59 states/eV/f.u.
- Electronic total energy: -11.46 eV for the cell shown
- Polymorph energy (0 for the lowest one): 0.052 eV per atom
- Calculated formation energy: -467.2 meV/atom

Lattice parameters (Å, degrees): 5.124 5.124 5.124 60.00 60.00 60.00
Fractional coordinates of all 3 atoms:
Pr 0.000 0.000 0.000
Ca 0.500 0.500 0.500
Au 0.250 0.250 0.250

---

Record 4
CaPrAu10: relaxed, PBE.

## Properties
- Space group: No. 47
- D(E_F): 5.23 states/eV/f.u.
- Electronic total energy: -44.39 eV for the cell shown
- Calculated formation energy: -403.3 meV/atom

Lattice parameters (Å, degrees): 4.737 5.576 9.696 90.00 90.00 90.00
Fractional coordinates of all 12 atoms:
Ca 0.000 0.000 0.000
Pr 0.000 0.500 0.500
Au 0.000 0.000 0.332
Au 0.000 0.500 0.836
Au 0.000 0.500 0.164
Au 0.000 0.000 0.668
Au 0.500 0.000 0.500
Au 0.500 0.500 0.000
Au 0.500 0.252 0.252
Au 0.500 0.748 0.748
Au 0.500 0.748 0.252
Au 0.500 0.252 0.748

---

Record 5
Ca2PrAu9: relaxed, PBE.

## Properties
- Space group: No. 166
- D(E_F): 6.37 states/eV/f.u.
- Electronic total energy: -44.64 eV for the cell shown
- Calculated formation energy: -530.3 meV/atom

Lattice parameters (Å, degrees): 5.607 5.607 10.021 73.75 73.75 60.00
Fractional coordinates of all 12 atoms:
Ca 0.858 0.858 0.426
Ca 0.142 0.142 0.574
Pr 0.000 0.000 0.000
Au 0.667 0.667 0.998
Au 0.333 0.333 0.002
Au 0.500 0.500 0.500
Au 0.413 0.413 0.256
Au 0.917 0.413 0.256
Au 0.413 0.917 0.256
Au 0.587 0.587 0.744
Au 0.587 0.083 0.744
Au 0.083 0.587 0.744

---

Record 6
CaPr2Au3: relaxed, PBE.

## Properties
- Space group: No. 123
- D(E_F): 4.10 states/eV/f.u.
- Electronic total energy: -25.97 eV for the cell shown
- Polymorph energy (0 for the lowest one): 0.004 eV per atom
- Calculated formation energy: -763.1 meV/atom

Lattice parameters (Å, degrees): 3.700 3.700 11.269 90.00 90.00 90.00
Fractional coordinates of all 6 atoms:
Ca 0.500 0.500 0.500
Pr 0.500 0.500 0.829
Pr 0.500 0.500 0.171
Au 0.000 0.000 0.000
Au 0.000 0.000 0.669
Au 0.000 0.000 0.331

---

Record 7
CaPrAu: relaxed, PBE.

## Properties
- Space group: No. 63
- D(E_F): 2.59 states/eV/f.u.
- Electronic total energy: -23.23 eV for the cell shown
- Polymorph energy (0 for the lowest one): 0.000 eV per atom
- Calculated formation energy: -519.5 meV/atom

Lattice parameters (Å, degrees): 5.277 5.250 7.048 111.90 90.00 90.00
Fractional coordinates of all 6 atoms:
Ca 0.752 0.617 0.228
Ca 0.252 0.391 0.776
Pr 0.752 0.887 0.767
Pr 0.252 0.121 0.236
Au 0.752 0.251 0.496
Au 0.252 0.757 0.507

---

Record 8
Ca4PrAu5: relaxed, PBE.

## Properties
- Space group: No. 123
- D(E_F): 6.53 states/eV/f.u.
- Electronic total energy: -36.98 eV for the cell shown
- Calculated formation energy: -780.6 meV/atom

Lattice parameters (Å, degrees): 3.686 3.686 18.125 90.00 90.00 90.00
Fractional coordinates of all 10 atoms:
Ca 0.000 0.000 0.204
Ca 0.000 0.000 0.402
Ca 0.000 0.000 0.598
Ca 0.000 0.000 0.796
Pr 0.000 0.000 0.000
Au 0.500 0.500 0.100
Au 0.500 0.500 0.303
Au 0.500 0.500 0.500
Au 0.500 0.500 0.697
Au 0.500 0.500 0.900

---

Record 9
CaPrAu: relaxed, PBE.

## Properties
- Space group: No. 156
- D(E_F): 3.24 states/eV/f.u.
- Electronic total energy: -11.11 eV for the cell shown
- Polymorph energy (0 for the lowest one): 0.170 eV per atom
- Calculated formation energy: -349.4 meV/atom

Lattice parameters (Å, degrees): 4.096 4.999 4.999 120.00 90.00 90.00
Fractional coordinates of all 3 atoms:
Pr 0.063 0.000 0.000
Ca 0.587 0.667 0.333
Au 0.350 0.333 0.667

---

Record 10
CaPrAu4: relaxed, PBE.

## Properties
- Space group: No. 5
- D(E_F): 3.47 states/eV/f.u.
- Electronic total energy: -24.28 eV for the cell shown
- Polymorph energy (0 for the lowest one): 0.000 eV per atom
- Calculated formation energy: -731.8 meV/atom

Lattice parameters (Å, degrees): 5.948 5.948 4.774 66.29 66.29 87.80
Fractional coordinates of all 6 atoms:
Ca 0.040 0.959 0.498
Pr 0.464 0.535 0.998
Au 0.620 0.945 0.216
Au 0.455 0.122 0.710
Au 0.053 0.379 0.780
Au 0.876 0.543 0.287

---

Record 11
CaPrRuAu: relaxed, PBE.

## Properties
- Space group: No. 216
- D(E_F): 2.85 states/eV/f.u.
- Electronic total energy: -20.44 eV for the cell shown
- Calculated formation energy: -276.8 meV/atom

Lattice parameters (Å, degrees): 5.069 5.069 5.069 60.00 60.00 60.00
Fractional coordinates of all 4 atoms:
Pr 0.000 0.000 0.000
Ru 0.750 0.750 0.750
Ca 0.500 0.500 0.500
Au 0.250 0.250 0.250

---

Record 12
CaPrSbAu: relaxed, PBE.

## Properties
- Space group: No. 216
- Uncorrected formation energy: -0.8296 eV per atom
- D(E_F): 3.71 states/eV/f.u.
- Electronic total energy: -17.50 eV for the cell shown

Lattice parameters (Å, degrees): 5.370 5.370 5.370 60.00 60.00 60.00
Fractional coordinates of all 4 atoms:
Pr 0.750 0.750 0.750
Sb 0.500 0.500 0.500
Ca 0.250 0.250 0.250
Au 0.000 0.000 0.000

---

One value per record, in order, for total magnetic moment: 0.000, 0.000, 0.000, 0.000, 0.000, 0.000, 0.000, 0.000, 0.000, 0.000, 0.000, 0.000 μB per formula unit.